Record 1
Computed, not measured: LiAlSbTe2 after structural relaxation at the PBE-GGA level of DFT.

Unit cell a=5.5167 b=5.5167 c=5.2051 alpha=90.00 beta=90.00 gamma=90.00
With the nearest neighbours (Å) after each atom.
Element x y z (fractional)
Sb  0.0000  0.0000  0.5000  2 Al 2.60
Te  0.0000  0.5000  0.0000  2 Al 2.76
Te  0.5000  0.0000  0.0000  2 Al 2.76
Al  0.0000  0.0000  0.0000  2 Sb 2.60, 4 Te 2.76
Li  0.5000  0.5000  0.5000  8 Te 3.79, 4 Sb 3.90

Output
The calculation puts the formation energy (no corrections) at 0.6 eV per formula unit. The value obtained for the offset from the most stable computed form is 0.000 eV/atom. The calculation puts the volume at 158 Å³/cell. As for the crystal system: tetragonal. Its symmetry is No. 123.

Record 2
Computed, not measured: Zn2InBr after structural relaxation at the PBE-GGA level of DFT.

Unit cell a=3.5964 b=3.5964 c=7.7897 alpha=90.00 beta=90.00 gamma=108.83
With the nearest neighbours (Å) after each atom.
Element x y z (fractional)
Br  0.5000  0.5000  0.2500  4 Zn 2.89
In  0.5000  0.5000  0.7500  4 Zn 2.83
Zn  0.0000  0.0000  0.9946  2 In 2.83, 2 Br 2.89
Zn  0.0000  0.0000  0.5054  2 In 2.83, 2 Br 2.89

Output
The calculation puts the formation energy (no corrections) at 0.0 eV per formula unit. The value obtained for the offset from the most stable computed form is 0.145 eV/atom. The calculation puts the volume at 95 Å³/cell. As for the crystal system: orthorhombic. Its symmetry is No. 65.

Record 3
Computed, not measured: CeNdTh2As4 after structural relaxation at the PBE-GGA level of DFT.

Unit cell a=4.2538 b=7.3573 c=7.3698 alpha=70.50 beta=90.00 gamma=90.00
With the nearest neighbours (Å) after each atom.
Element x y z (fractional)
Ce  0.0000  0.5000  0.5000  6 As 3.00
Nd  0.5000  0.5000  0.0000  6 As 3.02
Th  0.0000  0.0000  0.0000  6 As 3.01
Th  0.5000  0.0000  0.5000  6 As 2.99-3.00
As  0.0000  0.7514  0.7474  3 Th 2.99-3.01, 1 Ce 3.00, 2 Nd 3.02
As  0.0000  0.2486  0.2526  3 Th 2.99-3.01, 1 Ce 3.00, 2 Nd 3.02
As  0.5000  0.7497  0.2520  3 Th 3.00-3.01, 2 Ce 3.00, 1 Nd 3.02
As  0.5000  0.2503  0.7480  3 Th 3.00-3.01, 2 Ce 3.00, 1 Nd 3.02

Output
The calculation puts the volume at 217 Å³/cell. As for the crystal system: monoclinic. Its symmetry is No. 10. As for the energy of formation: -11.60 eV/f.u.

Record 4
Computed, not measured: LaIrOs2 after structural relaxation at the PBE-GGA level of DFT.

Unit cell a=4.6785 b=2.8895 c=5.5401 alpha=78.50 beta=90.00 gamma=90.00
With the nearest neighbours (Å) after each atom.
Element x y z (fractional)
Ir  0.5000  0.2500  0.2500  4 Os 2.68, 2 La 2.86, 2 Ir 2.89
La  0.5000  0.7500  0.7500  2 Ir 2.86, 2 La 2.89, 4 Os 3.12
Os  0.0000  0.0739  0.0511  4 Os 2.59-2.89, 2 Ir 2.68
Os  0.0000  0.4261  0.4489  4 Os 2.59-2.89, 2 Ir 2.68

Output
The value obtained for the offset from the most stable computed form is 0.274 eV/atom. The calculation puts the volume at 73 Å³/cell. As for the crystal system: monoclinic. Its symmetry is No. 10. As for the energy of formation: 1.86 eV/f.u.

| no. | total energy (eV per atom) |
| --- | --- |
| 1 | -3.096 |
| 2 | -1.740 |
| 3 | -6.968 |
| 4 | -8.597 |